Record 1
## NaTl5Br7 (GGA-PBE)

Data for NaTl5Br7 after structural relaxation.

Results
* uncorrected formation energy: -0.983 eV per atom
* final energy: -75.27 eV for the cell shown
* space-group type: Cm
* crystal system: monoclinic

Unit cell a=8.0283 b=8.0283 c=26.9090 alpha=90.02 beta=90.02 gamma=34.01
Last column: nearest neighbours and their distance in Å.
Sites, in units of the cell vectors:
Na 0.0000 0.0000 0.0000  2 Br 2.99
Na 0.5882 0.5882 0.5002  2 Br 2.99
Tl 0.0605 0.0605 0.3307  5 Br 3.06-3.30
Tl 0.0612 0.0612 0.6691  5 Br 3.05-3.30
Tl 0.2595 0.2595 0.9039  6 Br 3.18-3.55
Tl 0.2612 0.2612 0.0955  5 Br 3.15-3.32
Tl 0.3275 0.3275 0.4048  5 Br 3.16-3.32
Tl 0.3289 0.3289 0.5962  5 Br 3.17-3.32
Tl 0.5278 0.5278 0.8306  5 Br 3.06-3.30
Tl 0.5287 0.5287 0.1692  5 Br 3.06-3.30
Tl 0.7946 0.7946 0.2501  6 Br 3.30-3.38
Tl 0.7953 0.7953 0.7511  6 Br 3.30-3.38
Br 0.1572 0.1572 0.2142  6 Tl 3.30-3.57
Br 0.1567 0.1567 0.7856  6 Tl 3.30-3.55
Br 0.2084 0.2084 0.5006  2 Na 2.99, 2 Tl 3.16-3.17
Br 0.3799 0.3799 0.9999  2 Na 2.99, 2 Tl 3.15-3.18
Br 0.4320 0.4320 0.2858  6 Tl 3.30-3.58
Br 0.4327 0.4327 0.7147  6 Tl 3.30-3.56
Br 0.6160 0.6160 0.9325  3 Tl 3.06-3.31
Br 0.6170 0.6170 0.0672  3 Tl 3.06-3.32
Br 0.6943 0.6943 0.3620  5 Tl 3.23-3.38
Br 0.6960 0.6960 0.6390  5 Tl 3.23-3.38
Br 0.8944 0.8944 0.8627  5 Tl 3.23-3.37
Br 0.8948 0.8948 0.1383  5 Tl 3.23-3.38
Br 0.9716 0.9716 0.4326  3 Tl 3.06-3.31
Br 0.9728 0.9728 0.5674  3 Tl 3.05-3.32

---

Record 2
## ScPd3S (GGA-PBE)

Data for ScPd3S after structural relaxation.

Results
* relative energy among the computed polymorphs: 976 meV per atom
* uncorrected formation energy: 0.597 eV per atom
* final energy: -23.05 eV for the cell shown
* space-group type: Pm-3m
* crystal system: cubic

Unit cell a=4.7644 b=4.7644 c=4.7644 alpha=90.00 beta=90.00 gamma=90.00
Last column: nearest neighbours and their distance in Å.
Sites, in units of the cell vectors:
Sc 0.0000 0.0000 0.0000  6 Pd 2.38
Pd 0.0000 0.0000 0.5000  2 Sc 2.38
Pd 0.0000 0.5000 0.0000  2 Sc 2.38
Pd 0.5000 0.0000 0.0000  2 Sc 2.38
S 0.5000 0.5000 0.5000  12 Pd 3.37

---

Record 3
## Np2GaSb (GGA-PBE)

Data for Np2GaSb after structural relaxation.

Results
* relative energy among the computed polymorphs: 0 meV per atom
* uncorrected formation energy: -0.080 eV per atom
* final energy: -33.35 eV for the cell shown
* space-group type: P4/mmm
* crystal system: tetragonal

Unit cell a=4.5828 b=4.5828 c=4.4644 alpha=90.00 beta=90.00 gamma=90.00
Last column: nearest neighbours and their distance in Å.
Sites, in units of the cell vectors:
Np 0.0000 0.5000 0.0000  4 Sb 3.20, 4 Ga 3.20, 4 Np 3.24
Np 0.5000 0.0000 0.0000  4 Sb 3.20, 4 Ga 3.20, 4 Np 3.24
Ga 0.0000 0.0000 0.5000  8 Np 3.20, 4 Sb 3.24
Sb 0.5000 0.5000 0.5000  8 Np 3.20, 4 Ga 3.24

---

Record 4
## NaCoH4 (GGA-PBE)

Data for NaCoH4 after structural relaxation.

Results
* relative energy among the computed polymorphs: 0 meV per atom
* final energy: -44.26 eV for the cell shown
* space-group type: C2/c
* crystal system: monoclinic

Unit cell a=5.7098 b=5.7098 c=4.4521 alpha=94.28 beta=94.28 gamma=127.43
Last column: nearest neighbours and their distance in Å.
Sites, in units of the cell vectors:
Na 0.1385 0.8615 0.7500  6 H 2.22-2.27
Na 0.8615 0.1385 0.2500  6 H 2.22-2.27
Co 0.4532 0.5468 0.7500  4 H 1.48-1.60
Co 0.5468 0.4532 0.2500  4 H 1.48-1.60
H 0.2298 0.5489 0.5618  1 Co 1.48
H 0.2533 0.3372 0.9866  2 Co 1.60-1.69
H 0.3372 0.2533 0.4866  2 Co 1.60-1.69
H 0.4511 0.7702 0.9382  1 Co 1.48
H 0.5489 0.2298 0.0618  1 Co 1.48
H 0.6628 0.7467 0.5134  2 Co 1.60-1.69
H 0.7467 0.6628 0.0134  2 Co 1.60-1.69
H 0.7702 0.4511 0.4382  1 Co 1.48

---

Record 5
## Rb3Er2PbSe6 (GGA-PBE)

Data for Rb3Er2PbSe6 after structural relaxation.

Results
* uncorrected formation energy: -1.366 eV per atom
* final energy: -53.03 eV for the cell shown
* space-group type: C2/m
* crystal system: monoclinic

Unit cell a=7.3953 b=7.3953 c=8.3828 alpha=98.44 beta=98.44 gamma=120.02
Last column: nearest neighbours and their distance in Å.
Sites, in units of the cell vectors:
Rb 0.0000 0.0000 0.0000  6 Se 3.39-3.50
Rb 0.3373 0.6627 0.0000  6 Se 3.42-3.50
Rb 0.6627 0.3373 0.0000  6 Se 3.42-3.50
Er 0.1672 0.8328 0.5000  6 Se 2.88-2.89
Er 0.8328 0.1672 0.5000  6 Se 2.88-2.89
Pb 0.5000 0.5000 0.5000  6 Se 3.01
Se 0.0872 0.4341 0.3027  2 Er 2.88-2.89, 1 Pb 3.01
Se 0.2183 0.2183 0.6959  2 Er 2.89, 1 Pb 3.01
Se 0.4341 0.0872 0.3027  2 Er 2.88-2.89, 1 Pb 3.01
Se 0.5659 0.9128 0.6973  2 Er 2.88-2.89, 1 Pb 3.01
Se 0.7817 0.7817 0.3041  2 Er 2.89, 1 Pb 3.01
Se 0.9128 0.5659 0.6973  2 Er 2.88-2.89, 1 Pb 3.01

---

Record 6
## Ba2Tl6PdPt (GGA-PBE)

Data for Ba2Tl6PdPt after structural relaxation.

Results
* DFT formation energy: -181 kJ/mol of formula units
* final energy: -31.16 eV for the cell shown
* space-group type: C2/m
* crystal system: monoclinic

Unit cell a=7.6673 b=7.6673 c=7.6595 alpha=119.77 beta=119.77 gamma=90.06
Last column: nearest neighbours and their distance in Å.
Sites, in units of the cell vectors:
Ba 0.2502 0.7498 0.0000  12 Tl 3.83-3.86
Ba 0.7498 0.2502 0.0000  12 Tl 3.83-3.86
Tl 0.2487 0.2487 0.4995  1 Pd 2.70, 1 Pt 2.72
Tl 0.2486 0.2486 0.9981  1 Pd 2.72, 1 Pt 2.74
Tl 0.2490 0.7510 0.5000  1 Pd 2.70, 1 Pt 2.72
Tl 0.7510 0.2490 0.5000  1 Pd 2.70, 1 Pt 2.72
Tl 0.7514 0.7514 0.0019  1 Pd 2.72, 1 Pt 2.74
Tl 0.7513 0.7513 0.5005  1 Pd 2.70, 1 Pt 2.72
Pd 0.0000 0.0000 0.5000  6 Tl 2.70-2.72
Pt 0.5000 0.5000 0.5000  6 Tl 2.72-2.74